(1)
Computed, not measured: Gd3Y13O24 at its PBEsol-relaxed geometry at the SCAN level of DFT.

Values from the calculation:
The calculation puts the raw total energy at -843.927 eV/cell.

abc: 9.1534 9.1623 9.1623
angles: 70.50 70.54 109.49
Last column: nearest neighbours and their distance in Å.
Fractional positions:
Y  0.5000  0.4666  0.0334  6 O 2.24-2.31
Y  0.2824  0.7826  0.9992  6 O 2.23-2.32
Y  0.9671  0.2491  0.2827  6 O 2.24-2.32
Y  0.7516  0.5009  0.2479  6 O 2.26-2.28
Y  0.7504  0.9978  0.7493  6 O 2.27-2.28
Y  0.5000  0.9674  0.5326  6 O 2.24-2.32
Y  0.7827  0.2826  0.0011  6 O 2.24-2.32
Y  0.2173  0.2162  0.5000  6 O 2.24-2.32
Y  0.2484  0.0005  0.2507  6 O 2.26-2.28
Y  0.2496  0.5003  0.7526  6 O 2.27-2.28
Y  0.7176  0.7184  0.4998  6 O 2.23-2.32
Y  0.0329  0.7502  0.7180  6 O 2.24-2.32
Y  0.0000  0.0337  0.9663  6 O 2.24-2.31
O  0.4905  0.5130  0.7813  3 Y 2.24-2.28, 1 Gd 2.35
O  0.4774  0.7386  0.4827  3 Y 2.25-2.32, 1 Gd 2.27
O  0.2808  0.7643  0.2582  2 Gd 2.26-2.27, 2 Y 2.26-2.32
O  0.0214  0.5301  0.2053  3 Y 2.24-2.27, 1 Gd 2.36
O  0.7192  0.4610  0.5165  2 Gd 2.26-2.27, 2 Y 2.26-2.32
O  0.7606  0.9688  0.5099  4 Y 2.23-2.32
O  0.2920  0.0105  0.4783  4 Y 2.24-2.32
O  0.2058  0.9874  0.0225  3 Y 2.24-2.28, 1 Gd 2.34
O  0.5095  0.7283  0.9774  3 Y 2.24-2.28, 1 Gd 2.35
O  0.9786  0.7733  0.4913  3 Y 2.24-2.27, 1 Gd 2.36
O  0.2582  0.2732  0.7076  3 Y 2.24-2.31, 1 Gd 2.29
O  0.9787  0.9572  0.7613  4 Y 2.24-2.32
O  0.5197  0.2276  0.0142  3 Y 2.24-2.31, 1 Gd 2.29
O  0.7942  0.7717  0.2184  3 Y 2.24-2.28, 1 Gd 2.34
O  0.2187  0.2393  0.2392  4 Y 2.24-2.32
O  0.4803  0.4661  0.2921  3 Y 2.24-2.31, 1 Gd 2.29
O  0.9890  0.2668  0.5217  3 Y 2.25-2.32, 1 Gd 2.27
O  0.5226  0.0399  0.7388  3 Y 2.25-2.32, 1 Gd 2.27
O  0.0213  0.2599  0.0215  4 Y 2.24-2.32
O  0.2394  0.7295  0.7918  4 Y 2.23-2.32
O  0.7813  0.5422  0.9794  4 Y 2.24-2.32
O  0.0110  0.4893  0.7222  3 Y 2.25-2.32, 1 Gd 2.27
O  0.7080  0.2297  0.2815  4 Y 2.24-2.32
O  0.7418  0.0342  0.9850  3 Y 2.24-2.31, 1 Gd 2.29
Gd  0.5324  0.7503  0.2177  6 O 2.26-2.35
Gd  0.4676  0.2499  0.7822  6 O 2.26-2.35
Gd  0.0000  0.5315  0.4685  6 O 2.27-2.36

***

(2)
Computed, not measured: Sc2ZnAu at its PBEsol-relaxed geometry at the SCAN level of DFT.

Values from the calculation:
Its formation energy is -0.81 eV/atom.

abc: 3.3525 4.6805 4.6805
angles: 90.00 90.00 90.00
Last column: nearest neighbours and their distance in Å.
Fractional positions:
Au  0.5000  0.0000  0.0000  8 Sc 2.88
Sc  0.0000  0.5000  0.0000  4 Zn 2.88, 4 Au 2.88
Sc  0.0000  0.0000  0.5000  4 Zn 2.88, 4 Au 2.88
Zn  0.5000  0.5000  0.5000  8 Sc 2.88